Entry 1:
LiY2Se | PBE-GGA | relaxed

Unit cell a=4.0461 b=4.0890 c=5.9669 alpha=69.96 beta=90.00 gamma=90.00
Fractional positions:
Y1 0.0000 0.9768 0.9209
Y2 0.5000 0.2762 0.3229
Se1 0.5000 0.5534 0.7678
Li1 0.0000 0.6936 0.4884

Calculated values
Volume in Å³/atom: 23.185
Uncorrected energy in eV/cell: -21.633
Formation energy (no corrections) in eV per atom: -0.83
SG: Amm2, No. 38

---

Entry 2:
TlVCu2 | PBE-GGA | relaxed

Unit cell a=7.1757 b=7.1757 c=5.7690 alpha=51.54 beta=51.54 gamma=90.00
Last column: magnetic moment on the atom in μB.
Fractional positions:
Tl1 0.0000 0.0000 0.0000  0.03
Tl2 0.7500 0.2500 0.5000  0.03
Cu1 0.6093 0.1250 0.2500  0.07
Cu2 0.1407 0.6250 0.2500  0.07
Cu3 0.3750 0.3907 0.7500  0.07
Cu4 0.8750 0.8593 0.7500  0.07
V1 0.5000 0.5000 0.0000  2.27
V2 0.2500 0.7500 0.5000  2.27

Calculated values
Volume in Å³/atom: 17.669
Uncorrected energy in eV/cell: -34.004
Relative energy among the computed polymorphs in eV per atom: 0.264
SG: I-42d, No. 122

---

Entry 3:
PmTiPbAu | PBE-GGA | relaxed

Unit cell a=5.1253 b=5.1253 c=5.1253 alpha=60.00 beta=60.00 gamma=60.00
Last column: magnetic moment on the atom in μB.
Fractional positions:
Pb1 0.0000 0.0000 0.0000  -0.04
Ti1 0.2500 0.2500 0.2500  1.45
Au1 0.5000 0.5000 0.5000  0.03
Pm1 0.7500 0.7500 0.7500  0.14

Calculated values
Volume in Å³/atom: 23.800
Uncorrected energy in eV/cell: -20.788
SG: F-43m, No. 216

---

Entry 4:
Tm5MgPb5 | PBE-GGA | relaxed

Unit cell a=6.2069 b=8.4214 c=7.1686 alpha=103.08 beta=90.00 gamma=111.62
Fractional positions:
Tm1 0.6698 0.3396 0.3254
Tm2 0.6594 0.3187 0.8134
Tm3 0.0000 0.0000 0.5000
Tm4 0.3406 0.6813 0.1866
Tm5 0.3302 0.6604 0.6746
Mg1 0.0000 0.0000 0.0000
Pb1 0.8355 0.6709 0.1480
Pb2 0.8378 0.6757 0.6712
Pb3 0.5000 0.0000 0.0000
Pb4 0.1622 0.3243 0.3288
Pb5 0.1645 0.3291 0.8520

Calculated values
Volume in Å³/atom: 30.714
Uncorrected energy in eV/cell: -43.734
SG: C2/m, No. 12